No. 1
The following is a PBE-GGA calculation of DySi2Rh8 after structural relaxation, from Alexandria.

For the uncorrected formation energy, the calculation gives -0.031 eV per atom. For the density of states at the Fermi level, the calculation gives 1.500 states/eV/atom. As for the electronic total energy: -6.782 eV per atom. As for the magnetization: 0.0 μB/f.u.

Geometry as CIF:
```
data_DySi2Rh8
_chemical_formula_sum 'Dy1 Si2 Rh8'
_cell_length_a 5.834
_cell_length_b 5.834
_cell_length_c 5.482
_cell_angle_alpha 90.00
_cell_angle_beta 90.00
_cell_angle_gamma 90.00
_symmetry_space_group_name_H-M 'P 4/m m m'
_symmetry_Int_Tables_number 123
_symmetry_space_group_name_Hall '-P 4 2'
loop_
_atom_site_label
_atom_site_type_symbol
_atom_site_fract_x
_atom_site_fract_y
_atom_site_fract_z
_atom_site_occupancy
Dy1 Dy 0.000 0.000 0.000 1
Si1 Si 0.000 0.500 0.500 1
Rh1 Rh 0.276 0.276 0.253 1
```


No. 2
The following is a PBE-GGA calculation of Zr2CoRhC after structural relaxation, from Alexandria.

For the density of states at the Fermi level, the calculation gives 0.968 states/eV/atom. As for the electronic total energy: -8.637 eV per atom. As for the magnetization: 0.0 μB/f.u. Its formation energy from the elements is -2.4 eV/f.u.

Geometry as CIF:
```
data_Zr2CoRhC
_chemical_formula_sum 'Zr2 Co1 Rh1 C1'
_cell_length_a 4.600
_cell_length_b 4.600
_cell_length_c 3.615
_cell_angle_alpha 90.00
_cell_angle_beta 90.00
_cell_angle_gamma 90.00
_symmetry_space_group_name_H-M 'P 4/m m m'
_symmetry_Int_Tables_number 123
_symmetry_space_group_name_Hall '-P 4 2'
loop_
_atom_site_label
_atom_site_type_symbol
_atom_site_fract_x
_atom_site_fract_y
_atom_site_fract_z
_atom_site_occupancy
Zr1 Zr 0.000 0.500 0.000 1
Co1 Co 0.000 0.000 0.500 1
Rh1 Rh 0.500 0.500 0.500 1
C1 C 0.000 0.000 0.000 1
```


No. 3
The following is a PBE-GGA calculation of InHg3P after structural relaxation, from Alexandria.

As for the distance to the lowest polymorph of the same formula: 391.6 meV/atom. For the density of states at the Fermi level, the calculation gives 0.654 states/eV/atom. As for the electronic total energy: -1.129 eV per atom. As for the magnetization: 2.3 μB/f.u. Its formation energy from the elements is 3.4 eV/f.u.

Geometry as CIF:
```
data_InHg3P
_chemical_formula_sum 'In1 Hg3 P1'
_cell_length_a 5.661
_cell_length_b 5.661
_cell_length_c 5.661
_cell_angle_alpha 90.00
_cell_angle_beta 90.00
_cell_angle_gamma 90.00
_symmetry_space_group_name_H-M 'P m -3 m'
_symmetry_Int_Tables_number 221
_symmetry_space_group_name_Hall '-P 4 2 3'
loop_
_atom_site_label
_atom_site_type_symbol
_atom_site_fract_x
_atom_site_fract_y
_atom_site_fract_z
_atom_site_occupancy
In1 In 0.000 0.000 0.000 1
Hg1 Hg 0.000 0.000 0.500 1
P1 P 0.500 0.500 0.500 1
```


Question: What is the formula in the second record?
Answer: Zr2CoRhC